Entry 1:
ZrBeFe2 | GGA-PBE | relaxed

Cell lengths 8.472, 8.472, 8.472 Å; angles 154.43, 154.43, 36.47 degrees
Fractional positions:
Zr: 0.000 0.000 0.000
Zr: 0.750 0.250 0.500
Be: 0.250 0.750 0.500
Be: 0.500 0.500 0.000
Fe: 0.230 0.625 0.105
Fe: 0.375 0.480 0.605
Fe: 0.520 0.125 0.895
Fe: 0.875 0.770 0.395

Summary:
* energy of formation: 0.315 eV per atom
* space group: No. 122


Entry 2:
BeGa5 | GGA-PBE | relaxed

Cell lengths 6.441, 6.441, 4.151 Å; angles 90.00, 90.00, 144.36 degrees
Fractional positions:
Be: 0.000 0.000 0.000
Ga: 0.162 0.838 0.500
Ga: 0.347 0.653 0.000
Ga: 0.500 0.500 0.500
Ga: 0.653 0.347 0.000
Ga: 0.838 0.162 0.500

Summary:
* energy of formation: 0.174 eV per atom
* space group: No. 65


Entry 3:
Be6Ga | GGA-PBE | relaxed

Cell lengths 5.024, 5.024, 5.024 Å; angles 109.47, 109.47, 109.47 degrees
Fractional positions:
Be: 0.250 0.500 0.750
Be: 0.250 0.750 0.500
Be: 0.500 0.250 0.750
Be: 0.500 0.750 0.250
Be: 0.750 0.250 0.500
Be: 0.750 0.500 0.250
Ga: 0.000 0.000 0.000

Summary:
* energy of formation: 1.184 eV per atom
* space group: No. 229


Entry 4:
Be2Ga | GGA-PBE | relaxed

Cell lengths 4.553, 4.553, 4.553 Å; angles 60.00, 60.00, 60.00 degrees
Fractional positions:
Be: 0.000 0.000 0.000
Be: 0.000 0.000 0.500
Be: 0.000 0.500 0.000
Be: 0.500 0.000 0.000
Ga: 0.375 0.375 0.375
Ga: 0.625 0.625 0.625

Summary:
* energy of formation: 0.222 eV per atom
* space group: No. 227


Entry 5:
BeGa6 | GGA-PBE | relaxed

Cell lengths 6.188, 6.188, 6.188 Å; angles 109.47, 109.47, 109.47 degrees
Fractional positions:
Be: 0.000 0.000 0.000
Ga: 0.250 0.500 0.750
Ga: 0.250 0.750 0.500
Ga: 0.500 0.250 0.750
Ga: 0.500 0.750 0.250
Ga: 0.750 0.250 0.500
Ga: 0.750 0.500 0.250

Summary:
* energy of formation: 0.702 eV per atom
* space group: No. 229


Entry 6:
GdBeGa2 | GGA-PBE | relaxed

Cell lengths 5.769, 5.769, 5.769 Å; angles 40.67, 40.67, 40.67 degrees
Fractional positions:
Gd: 0.000 0.000 0.000
Be: 0.500 0.500 0.500
Ga: 0.214 0.214 0.214
Ga: 0.786 0.786 0.786

Summary:
* energy of formation: -0.373 eV per atom
* space group: No. 166